Model w:
Material: RbBa2Al2
Method: DFT, GGA-PBEsol
State: relaxed

a = 3.704 Å, b = 9.913 Å, c = 9.913 Å
α = 90.00°, β = 90.00°, γ = 90.00°
Element x y z (fractional)
Ba1 0.000 0.319 0.819
Ba2 0.000 0.819 0.681
Ba3 0.000 0.681 0.181
Ba4 0.000 0.181 0.319
Rb1 0.000 0.000 0.000
Rb2 0.000 0.500 0.500
Al1 0.500 0.105 0.605
Al2 0.500 0.605 0.895
Al3 0.500 0.895 0.395
Al4 0.500 0.395 0.105

Computed properties:
The crystal system is tetragonal. The calculated volume comes out at 364 Å³ per cell. The space group is No. 127. The total magnetization comes out at 0.000 μB/cell.


Model x:
Material: RbBa2Al2
Method: DFT, GGA-PBEsol
State: relaxed

a = 3.976 Å, b = 3.976 Å, c = 13.976 Å
α = 98.18°, β = 98.18°, γ = 90.00°
Element x y z (fractional)
Ba1 0.356 0.356 0.711
Ba2 0.644 0.644 0.289
Rb1 0.000 0.000 0.000
Al1 0.250 0.750 0.500
Al2 0.750 0.250 0.500

Computed properties:
The crystal system is tetragonal. The calculated volume comes out at 216 Å³ per cell. The space group is No. 139. The total magnetization comes out at 0.009 μB/cell.


Most stable: model w


Model w:
Material: Ba2AlRh
Method: DFT, GGA-PBEsol
State: relaxed

a = 4.217 Å, b = 5.202 Å, c = 5.202 Å
α = 90.06°, β = 90.00°, γ = 90.00°
Element x y z (fractional)
Rh1 0.500 0.000 0.000
Ba1 0.000 0.500 0.000
Ba2 0.000 0.000 0.500
Al1 0.500 0.500 0.500

Computed properties:
The crystal system is orthorhombic. The calculated volume comes out at 114 Å³ per cell. The space group is No. 65. The total magnetization comes out at 0.000 μB/cell.


Model x:
Material: Ba2AlRh
Method: DFT, GGA-PBEsol
State: relaxed

a = 3.535 Å, b = 3.535 Å, c = 9.476 Å
α = 90.00°, β = 90.00°, γ = 90.00°
Element x y z (fractional)
Rh1 0.000 0.000 0.587
Ba1 0.000 0.000 0.915
Ba2 0.500 0.500 0.333
Al1 0.500 0.500 0.665

Computed properties:
The crystal system is tetragonal. The calculated volume comes out at 118 Å³ per cell. The space group is No. 99. The total magnetization comes out at 0.002 μB/cell.


Most stable: model x


Model w:
Material: Ba2AlSb
Method: DFT, GGA-PBEsol
State: relaxed

a = 4.271 Å, b = 5.403 Å, c = 6.707 Å
α = 113.75°, β = 108.57°, γ = 90.00°
Element x y z (fractional)
Sb1 0.548 0.548 0.095
Ba1 0.980 0.980 0.959
Ba2 0.767 0.267 0.535
Al1 0.205 0.705 0.411

Computed properties:
The crystal system is orthorhombic. The calculated volume comes out at 133 Å³ per cell. The space group is No. 44. The total magnetization comes out at 0.000 μB/cell.


Model x:
Material: Ba2AlSb
Method: DFT, GGA-PBEsol
State: relaxed

a = 5.825 Å, b = 5.825 Å, c = 5.823 Å
α = 59.99°, β = 59.99°, γ = 60.00°
Element x y z (fractional)
Sb1 0.000 0.000 0.000
Ba1 0.250 0.250 0.250
Ba2 0.750 0.750 0.750
Al1 0.500 0.500 0.500

Computed properties:
The crystal system is cubic. The calculated volume comes out at 140 Å³ per cell. The space group is No. 225. The total magnetization comes out at 0.001 μB/cell.


Most stable: model w


Model w:
Material: BaTaAl3
Method: DFT, GGA-PBEsol
State: relaxed

a = 5.278 Å, b = 5.278 Å, c = 5.278 Å
α = 90.00°, β = 90.00°, γ = 90.00°
Element x y z (fractional)
Al1 0.000 0.500 0.000
Al2 0.000 0.000 0.500
Al3 0.500 0.000 0.000
Ba1 0.000 0.000 0.000
Ta1 0.500 0.500 0.500

Computed properties:
The crystal system is cubic. The calculated volume comes out at 147 Å³ per cell. The space group is No. 221. The total magnetization comes out at 3.252 μB/cell.


Model x:
Material: BaTaAl3
Method: DFT, GGA-PBEsol
State: relaxed

a = 5.120 Å, b = 5.120 Å, c = 5.120 Å
α = 90.00°, β = 90.00°, γ = 90.00°
Element x y z (fractional)
Al1 0.000 0.500 0.000
Al2 0.000 0.000 0.500
Al3 0.500 0.000 0.000
Ba1 0.500 0.500 0.500
Ta1 0.000 0.000 0.000

Computed properties:
The crystal system is cubic. The calculated volume comes out at 134 Å³ per cell. The space group is No. 221. The total magnetization comes out at 0.000 μB/cell.


Most stable: model x